{
  "formula": "Rb2CrOsS",
  "functional": "PBE",
  "state": "optimized geometry",
  "n_ef_per_ev_fu": 4.12,
  "e_form_raw_ev_per_atom": 0.8124,
  "lattice_angstrom": [[6.8012, 0.0000, 0.0000], [0.0000, 6.8012, 0.0000], [0.0000, 0.0000, 4.3082]],
  "species": ["Rb", "Rb", "Cr", "Os", "S"],
  "fractional_positions": [[0.0000, 0.5000, 0.0000], [0.5000, 0.0000, 0.0000], [0.0000, 0.0000, 0.5000], [0.5000, 0.5000, 0.0000], [0.5000, 0.5000, 0.5000]]
}

***

{
  "formula": "RbCrOsSe2",
  "functional": "PBE",
  "state": "optimized geometry",
  "n_ef_per_ev_fu": 7.44,
  "e_form_raw_ev_per_atom": 1.4716,
  "lattice_angstrom": [[4.7258, 0.0000, 0.0000], [0.0000, 4.7258, 0.0000], [0.0000, 0.0000, 6.0098]],
  "species": ["Rb", "Cr", "Os", "Se", "Se"],
  "fractional_positions": [[0.0000, 0.0000, 0.0000], [0.0000, 0.0000, 0.5000], [0.5000, 0.5000, 0.0000], [0.0000, 0.5000, 0.5000], [0.5000, 0.0000, 0.5000]]
}

***

{
  "formula": "Rb2CrOsSe",
  "functional": "PBE",
  "state": "optimized geometry",
  "n_ef_per_ev_fu": 3.17,
  "e_form_raw_ev_per_atom": 0.9922,
  "lattice_angstrom": [[6.4833, 0.0000, 0.0000], [0.0000, 6.4833, 0.0000], [0.0000, 0.0000, 4.5335]],
  "species": ["Rb", "Rb", "Cr", "Os", "Se"],
  "fractional_positions": [[0.0000, 0.5000, 0.0000], [0.5000, 0.0000, 0.0000], [0.0000, 0.0000, 0.5000], [0.0000, 0.0000, 0.0000], [0.5000, 0.5000, 0.5000]]
}

***

{
  "formula": "RbTa2CrOs",
  "functional": "PBE",
  "state": "optimized geometry",
  "n_ef_per_ev_fu": 7.20,
  "formation_energy_kj_per_mol_fu": 1094,
  "lattice_angstrom": [[4.6615, 0.0000, 0.0000], [0.0000, 4.6615, 0.0000], [0.0000, 0.0000, 4.8047]],
  "species": ["Rb", "Ta", "Ta", "Cr", "Os"],
  "fractional_positions": [[0.0000, 0.0000, 0.0000], [0.0000, 0.5000, 0.5000], [0.5000, 0.0000, 0.5000], [0.0000, 0.0000, 0.5000], [0.5000, 0.5000, 0.0000]]
}

***

{
  "formula": "RbZrCr2Os",
  "functional": "PBE",
  "state": "optimized geometry",
  "n_ef_per_ev_fu": 10.26,
  "formation_energy_kj_per_mol_fu": 1060,
  "lattice_angstrom": [[5.0168, 0.0000, 0.0000], [0.0000, 5.0168, 0.0000], [0.0000, 0.0000, 5.0116]],
  "species": ["Rb", "Zr", "Cr", "Cr", "Os"],
  "fractional_positions": [[0.0000, 0.0000, 0.0000], [0.5000, 0.5000, 0.5000], [0.0000, 0.5000, 0.5000], [0.5000, 0.0000, 0.5000], [0.5000, 0.5000, 0.0000]]
}

***

{
  "formula": "CrRe2Os",
  "functional": "PBE",
  "state": "optimized geometry",
  "n_ef_per_ev_fu": 3.65,
  "e_above_lowest_polymorph_mev_per_atom": 0.0,
  "formation_energy_kj_per_mol_fu": 37,
  "lattice_angstrom": [[3.8352, 0.0000, 0.0000], [0.0000, 3.8352, 0.0000], [0.0000, 0.0000, 3.8499]],
  "species": ["Cr", "Re", "Re", "Os"],
  "fractional_positions": [[0.0000, 0.0000, 0.0000], [0.0000, 0.5000, 0.5000], [0.5000, 0.0000, 0.5000], [0.5000, 0.5000, 0.0000]]
}

***

{
  "formula": "CrRe2Os",
  "functional": "PBE",
  "state": "optimized geometry",
  "n_ef_per_ev_fu": 4.38,
  "e_above_lowest_polymorph_mev_per_atom": 11.6,
  "formation_energy_kj_per_mol_fu": 41,
  "lattice_angstrom": [[2.7352, 0.0000, 0.0000], [0.0000, 3.7969, 0.0000], [0.0000, 0.0000, 5.4592]],
  "species": ["Cr", "Re", "Re", "Os"],
  "fractional_positions": [[0.0000, 0.0000, 0.0000], [0.0000, 0.0000, 0.4935], [0.5000, 0.5000, 0.7555], [0.5000, 0.5000, 0.2340]]
}

***

{
  "formula": "Cr2ReOs4",
  "functional": "PBE",
  "state": "optimized geometry",
  "n_ef_per_ev_fu": 8.88,
  "formation_energy_kj_per_mol_fu": 1323,
  "lattice_angstrom": [[4.6625, 0.0000, 0.0000], [0.0000, 4.6625, 0.0000], [0.0000, 0.0000, 12.2038]],
  "species": ["Cr", "Cr", "Cr", "Cr", "Re", "Re", "Os", "Os", "Os", "Os", "Os", "Os", "Os", "Os"],
  "fractional_positions": [[0.0000, 0.0000, 0.1111], [0.0000, 0.0000, 0.8889], [0.5000, 0.5000, 0.3889], [0.5000, 0.5000, 0.6111], [0.0000, 0.0000, 0.5000], [0.5000, 0.5000, 0.0000], [0.0000, 0.0000, 0.2922], [0.0000, 0.0000, 0.7078], [0.0000, 0.5000, 0.0000], [0.0000, 0.5000, 0.5000], [0.5000, 0.0000, 0.0000], [0.5000, 0.0000, 0.5000], [0.5000, 0.5000, 0.2078], [0.5000, 0.5000, 0.7922]]
}

***

{
  "formula": "CrRe2Os",
  "functional": "PBE",
  "state": "optimized geometry",
  "n_ef_per_ev_fu": 3.84,
  "e_above_lowest_polymorph_mev_per_atom": 0.1,
  "formation_energy_kj_per_mol_fu": 37,
  "lattice_angstrom": [[3.8424, 0.0000, 0.0000], [0.0000, 3.8424, 0.0000], [0.0000, 0.0000, 7.6760]],
  "species": ["Cr", "Cr", "Re", "Re", "Re", "Re", "Os", "Os"],
  "fractional_positions": [[0.0000, 0.0000, 0.0000], [0.5000, 0.5000, 0.5000], [0.0000, 0.0000, 0.5000], [0.0000, 0.5000, 0.2500], [0.5000, 0.0000, 0.7500], [0.5000, 0.5000, 0.0000], [0.0000, 0.5000, 0.7500], [0.5000, 0.0000, 0.2500]]
}

***

{
  "formula": "CrRe2Os",
  "functional": "PBE",
  "state": "optimized geometry",
  "n_ef_per_ev_fu": 4.57,
  "e_above_lowest_polymorph_mev_per_atom": 248.9,
  "formation_energy_kj_per_mol_fu": 133,
  "lattice_angstrom": [[4.4473, 0.0000, 0.0000], [0.0000, 4.4473, 0.0000], [0.0000, 0.0000, 2.8922]],
  "species": ["Cr", "Re", "Re", "Os"],
  "fractional_positions": [[0.0000, 0.0000, 0.0000], [0.0000, 0.5000, 0.5000], [0.5000, 0.0000, 0.5000], [0.5000, 0.5000, 0.0000]]
}

***

{
  "formula": "CrRe2Os",
  "functional": "PBE",
  "state": "optimized geometry",
  "n_ef_per_ev_fu": 3.90,
  "e_above_lowest_polymorph_mev_per_atom": 13.9,
  "formation_energy_kj_per_mol_fu": 42,
  "lattice_angstrom": [[2.7284, 0.0000, 0.0000], [0.0000, 3.8290, 0.0000], [0.0000, 0.0000, 5.4222]],
  "species": ["Cr", "Re", "Re", "Os"],
  "fractional_positions": [[0.0000, 0.0000, 0.0000], [0.5000, 0.5000, 0.2417], [0.5000, 0.5000, 0.7583], [0.0000, 0.0000, 0.5000]]
}

***

{
  "formula": "CrRe2Os",
  "functional": "PBE",
  "state": "optimized geometry",
  "n_ef_per_ev_fu": 4.59,
  "e_above_lowest_polymorph_mev_per_atom": 238.2,
  "formation_energy_kj_per_mol_fu": 129,
  "lattice_angstrom": [[2.9612, 0.0000, 0.0000], [0.0000, 4.4571, 0.0000], [0.0000, 0.0000, 8.6602]],
  "species": ["Cr", "Cr", "Re", "Re", "Re", "Re", "Os", "Os"],
  "fractional_positions": [[0.0000, 0.0000, 0.0000], [0.5000, 0.5000, 0.0000], [0.0000, 0.5000, 0.2375], [0.0000, 0.5000, 0.7625], [0.5000, 0.0000, 0.2375], [0.5000, 0.0000, 0.7625], [0.0000, 0.0000, 0.5000], [0.5000, 0.5000, 0.5000]]
}

***

For the records above, the corresponding VASP energy values read -4.57 -4.29 -4.26 -6.84 -5.80 -11.34 -11.33 -8.99 -11.34 -11.09 -11.33 -11.10 eV per atom.